Arrangement P

# Li2PtAu2

Li2PtAu2 after structural relaxation (PBE-GGA, Alexandria).

Values from the calculation:
**Symmetry**: No. 194

a = 4.503 Å, b = 4.503 Å, c = 10.710 Å
α = 90.00°, β = 90.00°, γ = 120.00°
Fractional coordinates of all 10 atoms:
Au  0.000  0.000  0.500
Au  0.333  0.667  0.250
Au  0.000  0.000  0.000
Au  0.667  0.333  0.750
Li  0.333  0.667  0.615
Li  0.333  0.667  0.885
Li  0.667  0.333  0.115
Li  0.667  0.333  0.385
Pt  0.000  0.000  0.750
Pt  0.000  0.000  0.250

=====

Arrangement Q

# Li2PtAu2

Li2PtAu2 after structural relaxation (PBE-GGA, Alexandria).

Values from the calculation:
**Symmetry**: No. 127

a = 7.312 Å, b = 7.312 Å, c = 2.907 Å
α = 90.00°, β = 90.00°, γ = 90.00°
Fractional coordinates of all 10 atoms:
Li  0.838  0.338  0.500
Li  0.662  0.838  0.500
Li  0.338  0.162  0.500
Li  0.162  0.662  0.500
Au  0.860  0.640  0.000
Au  0.640  0.140  0.000
Au  0.360  0.860  0.000
Au  0.140  0.360  0.000
Pt  0.500  0.500  0.000
Pt  0.000  0.000  0.000

=====

Arrangement R

# Li2PtAu2

Li2PtAu2 after structural relaxation (PBE-GGA, Alexandria).

Values from the calculation:
**Symmetry**: No. 139

a = 3.873 Å, b = 3.873 Å, c = 5.881 Å
α = 70.77°, β = 70.77°, γ = 90.00°
Fractional coordinates of all 5 atoms:
Au  0.250  0.750  0.500
Au  0.750  0.250  0.500
Li  0.597  0.597  0.805
Li  0.403  0.403  0.195
Pt  0.000  0.000  0.000

=====

Tell me which of them is the least stable. Sure, it is arrangement R.

=====

Arrangement P

# LiPtAu3

LiPtAu3 after structural relaxation (PBE-GGA, Alexandria).

Values from the calculation:
**Symmetry**: No. 15

a = 9.347 Å, b = 7.048 Å, c = 7.048 Å
α = 68.52°, β = 59.68°, γ = 59.68°
Fractional coordinates of all 20 atoms:
Li  0.250  0.998  0.002
Li  0.250  0.381  0.619
Li  0.750  0.002  0.998
Li  0.750  0.619  0.381
Au  0.079  0.331  0.324
Au  0.411  0.066  0.362
Au  0.458  0.243  0.901
Au  0.089  0.638  0.934
Au  0.911  0.362  0.066
Au  0.589  0.934  0.638
Au  0.042  0.099  0.757
Au  0.921  0.669  0.676
Au  0.421  0.676  0.669
Au  0.579  0.324  0.331
Au  0.958  0.901  0.243
Au  0.542  0.757  0.099
Pt  0.191  0.829  0.451
Pt  0.809  0.171  0.549
Pt  0.691  0.451  0.829
Pt  0.309  0.549  0.171

=====

Arrangement Q

# LiPtAu3

LiPtAu3 after structural relaxation (PBE-GGA, Alexandria).

Values from the calculation:
**Symmetry**: No. 2

a = 4.814 Å, b = 4.820 Å, c = 7.841 Å
α = 85.40°, β = 71.96°, γ = 74.74°
Fractional coordinates of all 10 atoms:
Pt  0.555  0.345  0.607
Pt  0.856  0.844  0.008
Li  0.052  0.844  0.616
Li  0.359  0.345  0.998
Au  0.263  0.844  0.193
Au  0.148  0.345  0.422
Au  0.653  0.844  0.412
Au  0.952  0.343  0.811
Au  0.459  0.845  0.803
Au  0.758  0.344  0.203

=====

Arrangement R

# LiPtAu3

LiPtAu3 after structural relaxation (PBE-GGA, Alexandria).

Values from the calculation:
**Symmetry**: No. 221

a = 5.121 Å, b = 5.121 Å, c = 5.121 Å
α = 90.00°, β = 90.00°, γ = 90.00°
Fractional coordinates of all 5 atoms:
Au  0.000  0.500  0.000
Au  0.500  0.000  0.000
Au  0.000  0.000  0.500
Li  0.500  0.500  0.500
Pt  0.000  0.000  0.000

=====

Tell me which of them is the least stable. Sure, it is arrangement R.

=====

Arrangement P

# Li4PtAu

Li4PtAu after structural relaxation (PBE-GGA, Alexandria).

Values from the calculation:
**Symmetry**: No. 47

a = 2.724 Å, b = 4.278 Å, c = 7.422 Å
α = 90.00°, β = 90.00°, γ = 90.00°
Fractional coordinates of all 6 atoms:
Li  0.499  0.497  0.659
Li  0.499  0.497  0.337
Li  0.499  0.997  0.171
Li  0.498  0.997  0.825
Au  0.999  0.497  0.998
Pt  0.999  0.997  0.498

=====

Arrangement Q

# Li4PtAu

Li4PtAu after structural relaxation (PBE-GGA, Alexandria).

Values from the calculation:
**Symmetry**: No. 216

a = 4.861 Å, b = 4.861 Å, c = 4.861 Å
α = 60.00°, β = 60.00°, γ = 60.00°
Fractional coordinates of all 6 atoms:
Au  0.000  0.000  0.000
Li  0.376  0.872  0.376
Li  0.376  0.376  0.376
Li  0.376  0.376  0.872
Li  0.872  0.376  0.376
Pt  0.750  0.750  0.750

=====

Arrangement R

# Li4PtAu

Li4PtAu after structural relaxation (PBE-GGA, Alexandria).

Values from the calculation:
**Symmetry**: No. 12

a = 4.265 Å, b = 4.265 Å, c = 7.448 Å
α = 72.89°, β = 72.89°, γ = 60.21°
Fractional coordinates of all 6 atoms:
Au  0.500  0.500  0.500
Li  0.118  0.118  0.642
Li  0.370  0.370  0.893
Li  0.630  0.630  0.107
Li  0.882  0.882  0.358
Pt  0.000  0.000  0.000

=====

Tell me which of them is the least stable. Sure, it is arrangement Q.